# 1
The following is a PBE-GGA calculation of a relaxed structure of Y4Tm6Sc, from the Alexandria database.

a b c (Å): 5.526 5.526 25.370
angles (deg): 90.00 90.00 119.87
Fractional coordinates of all 22 atoms:
Y1 0.002 0.998 0.622
Y2 0.002 0.998 0.878
Y3 0.334 0.666 0.543
Y4 0.334 0.666 0.957
Y5 0.666 0.334 0.043
Y6 0.666 0.334 0.457
Y7 0.998 0.002 0.122
Y8 0.998 0.002 0.378
Tm1 0.000 0.000 0.000
Tm2 0.000 0.000 0.500
Tm3 0.002 0.998 0.750
Tm4 0.331 0.669 0.107
Tm5 0.331 0.669 0.393
Tm6 0.335 0.665 0.683
Tm7 0.335 0.665 0.817
Tm8 0.665 0.335 0.183
Tm9 0.665 0.335 0.317
Tm10 0.669 0.331 0.607
Tm11 0.669 0.331 0.893
Tm12 0.998 0.002 0.250
Sc1 0.332 0.668 0.250
Sc2 0.668 0.332 0.750

Crystal system: orthorhombic
Space-group type: Cmcm, No. 63
Offset from the most stable computed form in meV/atom: 0

---

# 2
The following is a PBE-GGA calculation of a relaxed structure of MgNb2In, from the Alexandria database.

a b c (Å): 6.128 6.128 6.128
angles (deg): 102.06 102.06 125.60
Fractional coordinates of all 8 atoms:
Mg1 0.000 0.000 0.000
Mg2 0.750 0.250 0.500
Nb1 0.127 0.625 0.002
Nb2 0.375 0.377 0.502
Nb3 0.623 0.125 0.998
Nb4 0.875 0.873 0.498
In1 0.250 0.750 0.500
In2 0.500 0.500 0.000

Crystal system: tetragonal
Total energy in eV/atom: -5.515
Space-group type: I-42d, No. 122

---

# 3
The following is a PBE-GGA calculation of a relaxed structure of ZnOs2Rh, from the Alexandria database.

a b c (Å): 4.556 4.556 2.764
angles (deg): 90.00 90.00 90.00
Fractional coordinates of all 4 atoms:
Zn1 0.000 0.000 0.000
Os1 0.000 0.500 0.500
Os2 0.500 0.000 0.500
Rh1 0.500 0.500 0.000

Crystal system: tetragonal
Total energy in eV/atom: -7.276
Space-group type: P4/mmm, No. 123

---

# 4
The following is a PBE-GGA calculation of a relaxed structure of Nb3NiIr, from the Alexandria database.

a b c (Å): 4.539 4.539 4.539
angles (deg): 90.00 90.00 90.00
Fractional coordinates of all 5 atoms:
Nb1 0.000 0.000 0.500
Nb2 0.000 0.500 0.000
Nb3 0.500 0.000 0.000
Ni1 0.000 0.000 0.000
Ir1 0.500 0.500 0.500

Crystal system: cubic
Space-group type: Pm-3m, No. 221
Offset from the most stable computed form in meV/atom: 0

---

# 5
The following is a PBE-GGA calculation of a relaxed structure of NaSnHgAu, from the Alexandria database.

a b c (Å): 5.048 5.048 5.048
angles (deg): 60.00 60.00 60.00
Fractional coordinates of all 4 atoms:
Na1 0.000 0.000 0.000
Sn1 0.500 0.500 0.500
Hg1 0.250 0.250 0.250
Au1 0.750 0.750 0.750

Crystal system: cubic
Space-group type: F-43m, No. 216
Offset from the most stable computed form in meV/atom: 0

---

# 6
The following is a PBE-GGA calculation of a relaxed structure of Ce3ScPb3, from the Alexandria database.

a b c (Å): 7.107 7.107 8.944
angles (deg): 96.79 96.79 103.84
Fractional coordinates of all 14 atoms:
Ce1 0.119 0.881 0.000
Ce2 0.292 0.708 0.500
Ce3 0.400 0.400 0.095
Ce4 0.600 0.600 0.905
Ce5 0.708 0.292 0.500
Ce6 0.881 0.119 0.000
Sc1 0.134 0.134 0.655
Sc2 0.866 0.866 0.345
Pb1 0.082 0.488 0.796
Pb2 0.199 0.199 0.351
Pb3 0.488 0.082 0.796
Pb4 0.512 0.918 0.204
Pb5 0.801 0.801 0.649
Pb6 0.918 0.512 0.204

Crystal system: monoclinic
Total energy in eV/atom: -5.283
Space-group type: C2/m, No. 12

---

# 7
The following is a PBE-GGA calculation of a relaxed structure of MgAgP3O9, from the Alexandria database.

a b c (Å): 14.128 10.878 10.180
angles (deg): 90.00 90.00 90.00
Fractional coordinates of all 112 atoms:
Mg1 0.000 0.000 0.000
Mg2 0.000 0.000 0.500
Mg3 0.250 0.500 0.031
Mg4 0.250 0.500 0.531
Mg5 0.500 0.000 0.000
Mg6 0.500 0.000 0.500
Mg7 0.750 0.500 0.469
Mg8 0.750 0.500 0.969
Ag1 0.124 0.248 0.480
Ag2 0.124 0.752 0.980
Ag3 0.376 0.248 0.980
Ag4 0.376 0.752 0.480
Ag5 0.624 0.248 0.520
Ag6 0.624 0.752 0.020
Ag7 0.876 0.248 0.020
Ag8 0.876 0.752 0.520
P1 0.101 0.473 0.786
P2 0.101 0.527 0.286
P3 0.126 0.252 0.946
P4 0.126 0.748 0.446
P5 0.148 0.046 0.761
P6 0.148 0.954 0.261
P7 0.352 0.046 0.261
P8 0.352 0.954 0.761
P9 0.374 0.252 0.446
P10 0.374 0.748 0.946
P11 0.399 0.473 0.286
P12 0.399 0.527 0.786
P13 0.601 0.473 0.214
P14 0.601 0.527 0.714
P15 0.626 0.252 0.054
P16 0.626 0.748 0.554
P17 0.648 0.046 0.239
P18 0.648 0.954 0.739
P19 0.852 0.046 0.739
P20 0.852 0.954 0.239
P21 0.874 0.252 0.554
P22 0.874 0.748 0.054
P23 0.899 0.473 0.714
P24 0.899 0.527 0.214
O1 0.000 0.466 0.250
O2 0.000 0.534 0.750
O3 0.055 0.175 0.019
O4 0.055 0.825 0.519
O5 0.065 0.349 0.860
O6 0.065 0.651 0.360
O7 0.093 0.078 0.640
O8 0.093 0.922 0.140
O9 0.105 0.041 0.359
O10 0.105 0.959 0.859
O11 0.149 0.445 0.384
O12 0.149 0.555 0.884
O13 0.152 0.439 0.663
O14 0.152 0.561 0.163
O15 0.180 0.171 0.835
O16 0.180 0.829 0.335
O17 0.201 0.320 0.020
O18 0.201 0.680 0.520
O19 0.250 0.000 0.210
O20 0.250 0.000 0.710
O21 0.299 0.320 0.520
O22 0.299 0.680 0.020
O23 0.320 0.171 0.335
O24 0.320 0.829 0.835
O25 0.348 0.439 0.163
O26 0.348 0.561 0.663
O27 0.351 0.445 0.884
O28 0.351 0.555 0.384
O29 0.395 0.041 0.859
O30 0.395 0.959 0.359
O31 0.407 0.078 0.140
O32 0.407 0.922 0.640
O33 0.435 0.349 0.360
O34 0.435 0.651 0.860
O35 0.445 0.175 0.519
O36 0.445 0.825 0.019
O37 0.500 0.466 0.750
O38 0.500 0.534 0.250
O39 0.555 0.175 0.981
O40 0.555 0.825 0.481
O41 0.565 0.349 0.140
O42 0.565 0.651 0.640
O43 0.593 0.078 0.360
O44 0.593 0.922 0.860
O45 0.605 0.041 0.641
O46 0.605 0.959 0.141
O47 0.649 0.445 0.616
O48 0.649 0.555 0.116
O49 0.652 0.439 0.337
O50 0.652 0.561 0.837
O51 0.680 0.171 0.165
O52 0.680 0.829 0.665
O53 0.701 0.320 0.980
O54 0.701 0.680 0.480
O55 0.750 0.000 0.290
O56 0.750 0.000 0.790
O57 0.799 0.320 0.480
O58 0.799 0.680 0.980
O59 0.820 0.171 0.665
O60 0.820 0.829 0.165
O61 0.848 0.439 0.837
O62 0.848 0.561 0.337
O63 0.851 0.445 0.116
O64 0.851 0.555 0.616
O65 0.895 0.041 0.141
O66 0.895 0.959 0.641
O67 0.907 0.078 0.860
O68 0.907 0.922 0.360
O69 0.935 0.349 0.640
O70 0.935 0.651 0.140
O71 0.945 0.175 0.481
O72 0.945 0.825 0.981

Crystal system: orthorhombic
Space-group type: Pcca, No. 54
Uncorrected formation energy in meV per atom: -2094

---

# 8
The following is a PBE-GGA calculation of a relaxed structure of Dy6Er3Tm2Tl, from the Alexandria database.

a b c (Å): 6.071 6.071 11.551
angles (deg): 95.07 95.07 120.07
Fractional coordinates of all 12 atoms:
Dy1 0.082 0.412 0.248
Dy2 0.249 0.249 0.751
Dy3 0.412 0.082 0.248
Dy4 0.588 0.918 0.752
Dy5 0.751 0.751 0.249
Dy6 0.918 0.588 0.752
Er1 0.167 0.833 0.500
Er2 0.500 0.500 0.500
Er3 0.833 0.167 0.500
Tm1 0.334 0.666 0.000
Tm2 0.666 0.334 0.000
Tl1 0.000 0.000 0.000

Crystal system: monoclinic
Total energy in eV/atom: -4.393
Space-group type: C2/m, No. 12

---

no.,volume (Å³ per cell)
1,671.80
2,166.42
3,57.37
4,93.50
5,90.95
6,430.44
7,1564.54
8,362.56